Record 1
The following is a PBEsol calculation of LiMgIr2 after structural relaxation, from Alexandria via LeMat-Bulk.

Lattice parameters (Å, degrees): 2.836 4.352 4.541 90.00 90.00 90.00
Space group Pmmm (No. 47)
Asymmetric unit:
Li (0.000, 0.000, 0.000) [1 per cell]
Mg (0.500, 0.000, 0.500) [1 per cell]
Ir (0.000, 0.500, 0.500) [1 per cell]
Ir (0.500, 0.500, 0.000) [1 per cell]

Output
E_form (eV per atom): -0.163
Crystal system: orthorhombic

Record 2
The following is a PBEsol calculation of PrTm3 after structural relaxation, from Alexandria via LeMat-Bulk.

Lattice parameters (Å, degrees): 4.927 4.927 9.780 90.00 90.00 90.00
Space group I4/mmm (No. 139)
Asymmetric unit:
Pr (0.000, 0.000, 0.000) [2 per cell]
Tm (0.000, 0.000, 0.500) [2 per cell]
Tm (0.000, 0.500, 0.250) [4 per cell]

Output
E_form (eV per atom): 0.026
Crystal system: tetragonal

Record 3
The following is a PBEsol calculation of FeOsRh2 after structural relaxation, from Alexandria via LeMat-Bulk.

Lattice parameters (Å, degrees): 2.6622 2.6622 25.6995 90.00 90.00 120.00
Space group R-3m (No. 166, hexagonal axes)
Asymmetric unit:
Fe (0.0000, 0.0000, 0.0000) [3 per cell]
Os (0.0000, 0.0000, 0.5000) [3 per cell]
Rh (0.0000, 0.0000, 0.2519) [6 per cell]

Output
E_form (eV per atom): 0.069
Crystal system: trigonal

Record 4
The following is a PBEsol calculation of In2HgCl after structural relaxation, from Alexandria via LeMat-Bulk.

Lattice parameters (Å, degrees): 3.374 5.073 5.826 90.00 96.82 90.00
Space group Pm (No. 6)
Asymmetric unit:
In (0.000, 0.000, 0.000) [1 per cell]
In (0.495, 0.500, 0.500) [1 per cell]
Hg (0.995, 0.000, 0.500) [1 per cell]
Cl (0.499, 0.500, 0.999) [1 per cell]

Output
Crystal system: monoclinic
E_form (uncorrected) (eV/atom): -0.359

Record 5
The following is a PBEsol calculation of RbReOs2Br after structural relaxation, from Alexandria via LeMat-Bulk.

Lattice parameters (Å, degrees): 4.836 4.836 5.006 90.00 90.00 90.00
Space group P4/mmm (No. 123)
Asymmetric unit:
Rb (0.000, 0.000, 0.000) [1 per cell]
Re (0.000, 0.000, 0.500) [1 per cell]
Os (0.000, 0.500, 0.000) [2 per cell]
Br (0.500, 0.500, 0.500) [1 per cell]

Output
Crystal system: tetragonal
E_form (uncorrected) (eV/atom): 4.410

Record 6
The following is a PBEsol calculation of RbW6O18 after structural relaxation, from Alexandria via LeMat-Bulk.

Lattice parameters (Å, degrees): 7.413 7.587 12.866 90.00 90.00 90.00
Space group Pnnm (No. 58)
Asymmetric unit:
Rb (0.000, 0.000, 0.000) [2 per cell]
W (0.019, 0.250, 0.500) [4 per cell]
W (0.240, 0.256, 0.240) [8 per cell]
O (0.000, 0.000, 0.500) [2 per cell]
O (0.000, 0.500, 0.500) [2 per cell]
O (0.003, 0.767, 0.213) [8 per cell]
O (0.180, 0.748, 0.396) [8 per cell]
O (0.183, 0.253, 0.392) [8 per cell]
O (0.235, 0.502, 0.247) [8 per cell]

Output
Crystal system: orthorhombic
E_form (uncorrected) (eV/atom): -2.184

Record 7
The following is a PBEsol calculation of KScCu2 after structural relaxation, from Alexandria via LeMat-Bulk.

Lattice parameters (Å, degrees): 3.362 3.361 7.661 90.00 90.07 90.00
Space group P2/m (No. 10)
Asymmetric unit:
K (0.000, 0.000, 0.000) [1 per cell]
Sc (0.000, 0.000, 0.500) [1 per cell]
Cu (0.499, 0.500, 0.334) [2 per cell]

Output
E_form (eV per atom): 0.140
Crystal system: monoclinic

Record 8
The following is a PBEsol calculation of ZrReSi2 after structural relaxation, from Alexandria via LeMat-Bulk.

Lattice parameters (Å, degrees): 9.164 10.042 8.048 90.00 90.00 90.00
Space group Pbam (No. 55)
Asymmetric unit:
Zr (0.171, 0.180, 0.000) [4 per cell]
Zr (0.174, 0.452, 0.246) [8 per cell]
Re (0.000, 0.000, 0.245) [4 per cell]
Re (0.085, 0.742, 0.250) [8 per cell]
Si (0.034, 0.615, 0.000) [4 per cell]
Si (0.035, 0.616, 0.500) [4 per cell]
Si (0.125, 0.904, 0.500) [4 per cell]
Si (0.130, 0.899, 0.000) [4 per cell]
Si (0.167, 0.181, 0.354) [8 per cell]

Output
Crystal system: orthorhombic
E_form (uncorrected) (eV/atom): -0.726

Record 9
The following is a PBEsol calculation of Ta3NbIr after structural relaxation, from Alexandria via LeMat-Bulk.

Lattice parameters (Å, degrees): 4.768 4.768 4.768 90.00 90.00 90.00
Space group Pm-3m (No. 221)
Asymmetric unit:
Ta (0.000, 0.000, 0.500) [3 per cell]
Nb (0.500, 0.500, 0.500) [1 per cell]
Ir (0.000, 0.000, 0.000) [1 per cell]

Output
E_form (eV per atom): 1.238
Crystal system: cubic

Record 10
The following is a PBEsol calculation of Mg9Si5 after structural relaxation, from Alexandria via LeMat-Bulk.

Lattice parameters (Å, degrees): 7.1329 7.1329 12.2169 90.00 90.00 120.00
Space group P6_3/m (No. 176)
Asymmetric unit:
Mg (0.0726, 0.7263, 0.2500) [6 per cell]
Mg (0.0842, 0.6793, 0.5828) [12 per cell]
Si (0.0000, 0.0000, 0.1012) [4 per cell]
Si (0.3333, 0.6667, 0.0882) [4 per cell]
Si (0.3333, 0.6667, 0.7500) [2 per cell]

Output
Crystal system: hexagonal
E_form (uncorrected) (eV/atom): -0.133

Record 11
The following is a PBEsol calculation of As2BrNCl after structural relaxation, from Alexandria via LeMat-Bulk.

Lattice parameters (Å, degrees): 4.435 4.435 4.590 90.00 90.00 90.00
Space group P4/mmm (No. 123)
Asymmetric unit:
As (0.000, 0.500, 0.000) [2 per cell]
Br (0.000, 0.000, 0.500) [1 per cell]
N (0.000, 0.000, 0.000) [1 per cell]
Cl (0.500, 0.500, 0.500) [1 per cell]

Output
Crystal system: tetragonal
E_form (uncorrected) (eV/atom): 0.851

Record 12
The following is a PBEsol calculation of Li3In after structural relaxation, from Alexandria via LeMat-Bulk.

Lattice parameters (Å, degrees): 3.135 3.766 6.322 90.00 90.00 90.00
Space group Pmmm (No. 47)
Asymmetric unit:
Li (0.000, 0.000, 0.000) [1 per cell]
Li (0.500, 0.500, 0.261) [2 per cell]
In (0.000, 0.000, 0.500) [1 per cell]

Output
E_form (eV per atom): -0.199
Crystal system: orthorhombic

Number 1: calculated total energy -5.996 eV/atom. Number 2: calculated total energy -4.945 eV/atom. Number 3: calculated total energy -9.296 eV/atom. Number 4: calculated total energy -2.494 eV/atom. Number 5: calculated total energy -3.722 eV/atom. Number 6: calculated total energy -9.318 eV/atom. Number 7: calculated total energy -3.961 eV/atom. Number 8: calculated total energy -9.205 eV/atom. Number 9: calculated total energy -10.422 eV/atom. Number 10: calculated total energy -3.289 eV/atom. Number 11: calculated total energy -3.673 eV/atom. Number 12: calculated total energy -2.420 eV/atom.